No. 1
The following is a PBE-GGA calculation of crystalline Pr2MgHg4 at its relaxed geometry, from the Alexandria database.

Lattice parameters (Å, degrees): 5.1196 5.1196 16.1399 90.00 90.00 90.00
Fractional positions:
Pr: 0.0000 0.0000 0.1284
Pr: 0.0000 0.0000 0.8716
Pr: 0.5000 0.5000 0.3716
Pr: 0.5000 0.5000 0.6284
Mg: 0.0000 0.0000 0.5000
Mg: 0.5000 0.5000 0.0000
Hg: 0.0000 0.0000 0.3219
Hg: 0.0000 0.0000 0.6781
Hg: 0.0000 0.5000 0.0000
Hg: 0.0000 0.5000 0.5000
Hg: 0.5000 0.0000 0.0000
Hg: 0.5000 0.0000 0.5000
Hg: 0.5000 0.5000 0.1781
Hg: 0.5000 0.5000 0.8219

Calculated values
Distance to the lowest polymorph of the same formula   0.225 eV per atom
Total magnetic moment   0.001 μB/cell
SG   No. 139
DOS(E_F)   1.10 states/eV per atom
E   -1.896 eV per atom

No. 2
The following is a PBE-GGA calculation of crystalline PrMgHg2 at its relaxed geometry, from the Alexandria database.

Lattice parameters (Å, degrees): 7.3602 7.3602 7.3602 90.00 90.00 90.00
Fractional positions:
Pr: 0.0000 0.0000 0.0000
Pr: 0.0000 0.5000 0.5000
Pr: 0.5000 0.0000 0.5000
Pr: 0.5000 0.5000 0.0000
Mg: 0.0000 0.0000 0.5000
Mg: 0.0000 0.5000 0.0000
Mg: 0.5000 0.0000 0.0000
Mg: 0.5000 0.5000 0.5000
Hg: 0.2500 0.2500 0.2500
Hg: 0.2500 0.2500 0.7500
Hg: 0.2500 0.7500 0.2500
Hg: 0.2500 0.7500 0.7500
Hg: 0.7500 0.2500 0.2500
Hg: 0.7500 0.2500 0.7500
Hg: 0.7500 0.7500 0.2500
Hg: 0.7500 0.7500 0.7500

Calculated values
Distance to the lowest polymorph of the same formula   0.000 eV per atom
Total magnetic moment   0.000 μB/cell
SG   No. 225
DOS(E_F)   0.49 states/eV per atom
E   -2.211 eV per atom

No. 3
The following is a PBE-GGA calculation of crystalline PrMg3Hg3 at its relaxed geometry, from the Alexandria database.

Lattice parameters (Å, degrees): 7.4781 7.4781 7.4781 90.00 90.00 90.00
Fractional positions:
Pr: 0.0000 0.0000 0.0000
Pr: 0.5000 0.5000 0.5000
Mg: 0.0000 0.2500 0.5000
Mg: 0.0000 0.7500 0.5000
Mg: 0.2500 0.5000 0.0000
Mg: 0.5000 0.0000 0.2500
Mg: 0.5000 0.0000 0.7500
Mg: 0.7500 0.5000 0.0000
Hg: 0.0000 0.5000 0.2500
Hg: 0.0000 0.5000 0.7500
Hg: 0.2500 0.0000 0.5000
Hg: 0.5000 0.2500 0.0000
Hg: 0.5000 0.7500 0.0000
Hg: 0.7500 0.0000 0.5000

Calculated values
Total magnetic moment   0.000 μB/cell
SG   No. 223
DOS(E_F)   0.74 states/eV per atom
E   -1.352 eV per atom